[1]
AlP2Au after structural relaxation. Source: the Alexandria database, functional PBE.

The calculation puts the calculated volume at 17.40 Å³ per atom. The value obtained for the energy is -16.56 eV for the cell shown. The formation energy comes out at 1.3 eV per formula unit. The space group is Cmmm, No. 65.

a b c (Å): 3.268 3.268 7.126
angles (deg): 90.00 90.00 113.85
Element x y z (fractional)
1 P 0.000 0.000 0.009
2 P 0.000 0.000 0.491
3 Au 0.500 0.500 0.750
4 Al 0.500 0.500 0.250

***

[2]
Cr2W after structural relaxation. Source: the Alexandria database, functional PBE.

For the energy above the lowest structure with this stoichiometry, the calculation gives 2.2 meV/atom. The calculation puts the calculated volume at 13.21 Å³ per atom. The value obtained for the energy is -32.03 eV for the cell shown. The formation energy comes out at 0.2 eV per formula unit. The space group is I4/mmm, No. 139.

a b c (Å): 2.984 2.984 4.927
angles (deg): 107.63 107.63 90.00
Element x y z (fractional)
1 Cr 0.672 0.672 0.343
2 Cr 0.328 0.328 0.657
3 W 0.000 0.000 0.000

***

[3]
CeBe6Pd6 after structural relaxation. Source: the Alexandria database, functional PBE.

The calculation puts the calculated volume at 12.89 Å³ per atom. The value obtained for the energy is -65.92 eV for the cell shown. The formation energy comes out at -6.5 eV per formula unit. The space group is Immm, No. 71.

a b c (Å): 4.942 6.326 6.326
angles (deg): 81.32 67.01 67.01
Element x y z (fractional)
1 Ce 0.000 0.000 0.000
2 Be 0.000 0.500 0.000
3 Be 0.500 0.500 0.000
4 Be 0.000 0.000 0.500
5 Be 0.500 0.000 0.500
6 Be 0.500 0.752 0.248
7 Be 0.500 0.248 0.752
8 Pd 0.339 0.661 0.661
9 Pd 0.661 0.339 0.339
10 Pd 0.000 0.336 0.664
11 Pd 0.000 0.664 0.336
12 Pd 0.319 0.181 0.181
13 Pd 0.681 0.819 0.819

***

[4]
Pr2TiSe4 after structural relaxation. Source: the Alexandria database, functional PBE.

The calculation puts the calculated volume at 26.40 Å³ per atom. The value obtained for the energy is -83.73 eV for the cell shown. The space group is P2_1/m, No. 11. The uncorrected formation energy comes out at -1.50 eV/atom.

a b c (Å): 7.101 6.691 8.114
angles (deg): 90.00 106.51 90.00
Last column: magnetic moment on the atom in μB.
Element x y z (fractional)
1 Pr 0.733 0.750 0.059  0.04
2 Pr 0.267 0.250 0.941  0.04
3 Pr 0.261 0.250 0.440  0.04
4 Pr 0.739 0.750 0.560  0.04
5 Ti 0.249 0.750 0.189  0.47
6 Ti 0.751 0.250 0.811  0.47
7 Se 0.510 0.494 0.255  -0.01
8 Se 0.064 0.750 0.888  -0.01
9 Se 0.936 0.250 0.112  -0.01
10 Se 0.510 0.006 0.255  -0.01
11 Se 0.937 0.250 0.604  -0.01
12 Se 0.490 0.994 0.745  -0.01
13 Se 0.490 0.506 0.745  -0.01
14 Se 0.063 0.750 0.396  -0.01

***

[5]
SmDy4Sc3 after structural relaxation. Source: the Alexandria database, functional PBE.

For the energy above the lowest structure with this stoichiometry, the calculation gives 0.0 meV/atom. The calculation puts the calculated volume at 29.26 Å³ per atom. The value obtained for the energy is -83.73 eV for the cell shown. The formation energy comes out at 0.3 eV per formula unit. The space group is Pmn2_1, No. 31.

a b c (Å): 6.072 7.048 10.940
angles (deg): 90.00 90.00 90.00
Element x y z (fractional)
1 Sm 0.150 0.382 0.000
2 Sm 0.650 0.618 0.500
3 Dy 0.139 0.868 0.000
4 Dy 0.646 0.131 0.000
5 Dy 0.985 0.131 0.255
6 Dy 0.485 0.869 0.245
7 Dy 0.146 0.869 0.500
8 Dy 0.639 0.132 0.500
9 Dy 0.485 0.869 0.755
10 Dy 0.985 0.131 0.745
11 Sc 0.651 0.621 0.000
12 Sc 0.979 0.619 0.251
13 Sc 0.479 0.381 0.249
14 Sc 0.151 0.379 0.500
15 Sc 0.479 0.381 0.751
16 Sc 0.979 0.619 0.749

***

[6]
Li3RhAu after structural relaxation. Source: the Alexandria database, functional PBE.

For the energy above the lowest structure with this stoichiometry, the calculation gives 0.0 meV/atom. The calculation puts the calculated volume at 18.36 Å³ per atom. The value obtained for the energy is -14.84 eV for the cell shown. The formation energy comes out at 1.5 eV per formula unit. The space group is Pm-3m, No. 221.

a b c (Å): 4.511 4.511 4.511
angles (deg): 90.00 90.00 90.00
Element x y z (fractional)
1 Rh 0.000 0.000 0.000
2 Au 0.500 0.500 0.500
3 Li 0.000 0.500 0.000
4 Li 0.000 0.000 0.500
5 Li 0.500 0.000 0.000

***

[7]
NpTl8S6 after structural relaxation. Source: the Alexandria database, functional PBE.

The calculation puts the calculated volume at 31.00 Å³ per atom. The value obtained for the energy is -64.79 eV for the cell shown. The space group is R-3, No. 148. The uncorrected formation energy comes out at -0.54 eV/atom.

a b c (Å): 7.568 7.568 10.345
angles (deg): 68.54 68.54 60.00
Last column: magnetic moment on the atom in μB.
Element x y z (fractional)
1 Np 0.000 0.000 0.000  3.25
2 Tl 0.778 0.459 0.655  0.00
3 Tl 0.892 0.222 0.345  0.00
4 Tl 0.541 0.892 0.345  0.00
5 Tl 0.332 0.332 0.003  0.00
6 Tl 0.668 0.668 0.997  0.00
7 Tl 0.459 0.108 0.655  0.00
8 Tl 0.108 0.778 0.655  0.00
9 Tl 0.222 0.541 0.345  0.00
10 S 0.932 0.659 0.175  -0.04
11 S 0.766 0.068 0.825  -0.04
12 S 0.341 0.766 0.825  -0.04
13 S 0.659 0.234 0.175  -0.04
14 S 0.234 0.932 0.175  -0.04
15 S 0.068 0.341 0.825  -0.04

***

[8]
Na3Hf3VS8 after structural relaxation. Source: the Alexandria database, functional PBE.

The calculation puts the calculated volume at 20.75 Å³ per atom. The value obtained for the energy is -97.26 eV for the cell shown. The space group is R-3m, No. 166. The uncorrected formation energy comes out at -1.42 eV/atom.

a b c (Å): 7.239 7.240 8.031
angles (deg): 116.80 90.00 120.00
Last column: magnetic moment on the atom in μB.
Element x y z (fractional)
1 Na 0.000 0.000 0.000  0.00
2 Na 0.000 0.500 0.000  0.00
3 Na 0.500 0.500 0.000  0.00
4 Hf 0.500 0.000 0.500  -0.02
5 Hf 0.500 0.500 0.500  -0.02
6 Hf 0.000 0.500 0.500  -0.02
7 V 0.000 0.000 0.500  2.18
8 S 0.260 0.520 0.280  0.00
9 S 0.740 0.480 0.720  0.00
10 S 0.765 0.529 0.288  -0.01
11 S 0.235 0.471 0.712  -0.01
12 S 0.765 0.023 0.288  -0.01
13 S 0.235 0.977 0.712  -0.01
14 S 0.258 0.023 0.288  -0.01
15 S 0.742 0.977 0.712  -0.01

***

[9]
PrSc2Fe9 after structural relaxation. Source: the Alexandria database, functional PBE.

The calculation puts the calculated volume at 14.44 Å³ per atom. The value obtained for the energy is -94.87 eV for the cell shown. The formation energy comes out at -1.3 eV per formula unit. The space group is R-3m, No. 166.

a b c (Å): 5.017 5.017 8.459
angles (deg): 72.75 72.75 60.00
Last column: magnetic moment on the atom in μB.
Element x y z (fractional)
1 Pr 0.000 0.000 0.000  -0.25
2 Sc 0.856 0.856 0.431  -0.44
3 Sc 0.144 0.144 0.569  -0.44
4 Fe 0.667 0.667 0.998  2.30
5 Fe 0.333 0.333 0.002  2.30
6 Fe 0.500 0.500 0.500  1.52
7 Fe 0.414 0.414 0.257  1.94
8 Fe 0.916 0.414 0.257  1.94
9 Fe 0.414 0.916 0.257  1.94
10 Fe 0.586 0.586 0.743  1.94
11 Fe 0.586 0.084 0.743  1.94
12 Fe 0.084 0.586 0.743  1.94

***

[10]
CdSb3Pb after structural relaxation. Source: the Alexandria database, functional PBE.

For the energy above the lowest structure with this stoichiometry, the calculation gives 310.5 meV/atom. The calculation puts the calculated volume at 39.51 Å³ per atom. The value obtained for the energy is -12.47 eV for the cell shown. The space group is Pm-3m, No. 221. The uncorrected formation energy comes out at 0.90 eV/atom.

a b c (Å): 5.824 5.824 5.824
angles (deg): 90.00 90.00 90.00
Element x y z (fractional)
1 Pb 0.000 0.000 0.000
2 Sb 0.000 0.500 0.000
3 Sb 0.000 0.000 0.500
4 Sb 0.500 0.000 0.000
5 Cd 0.500 0.500 0.500

***

[11]
La6NdAl after structural relaxation. Source: the Alexandria database, functional PBE.

For the energy above the lowest structure with this stoichiometry, the calculation gives 392.3 meV/atom. The calculation puts the calculated volume at 37.67 Å³ per atom. The value obtained for the energy is -35.48 eV for the cell shown. The formation energy comes out at 2.6 eV per formula unit. The space group is P-1, No. 2.

a b c (Å): 6.947 6.957 8.215
angles (deg): 65.21 65.32 60.12
Element x y z (fractional)
1 La 0.051 0.440 0.759
2 La 0.747 0.051 0.759
3 La 0.560 0.251 0.241
4 La 0.253 0.949 0.241
5 La 0.949 0.560 0.241
6 La 0.440 0.749 0.759
7 Nd 0.500 0.500 0.500
8 Al 0.000 0.000 0.000

***

[12]
Tm5Sc4 after structural relaxation. Source: the Alexandria database, functional PBE.

The calculation puts the calculated volume at 27.48 Å³ per atom. The value obtained for the energy is -47.22 eV for the cell shown. The formation energy comes out at 0.5 eV per formula unit. The space group is I4/mmm, No. 139.

a b c (Å): 4.783 7.580 7.580
angles (deg): 84.25 71.56 71.56
Element x y z (fractional)
1 Tm 0.000 0.996 0.004
2 Tm 0.000 0.337 0.663
3 Tm 0.000 0.667 0.333
4 Tm 0.329 0.337 0.004
5 Tm 0.671 0.996 0.663
6 Sc 0.333 0.667 0.666
7 Sc 0.333 0.000 0.333
8 Sc 0.667 0.667 0.000
9 Sc 0.667 0.334 0.333

***

Please write out number 4 again, unchanged.
Pr2TiSe4 after structural relaxation. Source: the Alexandria database, functional PBE.

The calculation puts the calculated volume at 26.40 Å³ per atom. The value obtained for the energy is -83.73 eV for the cell shown. The space group is P2_1/m, No. 11. The uncorrected formation energy comes out at -1.50 eV/atom.

a b c (Å): 7.101 6.691 8.114
angles (deg): 90.00 106.51 90.00
Last column: magnetic moment on the atom in μB.
Element x y z (fractional)
1 Pr 0.733 0.750 0.059  0.04
2 Pr 0.267 0.250 0.941  0.04
3 Pr 0.261 0.250 0.440  0.04
4 Pr 0.739 0.750 0.560  0.04
5 Ti 0.249 0.750 0.189  0.47
6 Ti 0.751 0.250 0.811  0.47
7 Se 0.510 0.494 0.255  -0.01
8 Se 0.064 0.750 0.888  -0.01
9 Se 0.936 0.250 0.112  -0.01
10 Se 0.510 0.006 0.255  -0.01
11 Se 0.937 0.250 0.604  -0.01
12 Se 0.490 0.994 0.745  -0.01
13 Se 0.490 0.506 0.745  -0.01
14 Se 0.063 0.750 0.396  -0.01

***

Which value of energy does entry 5 give?
-83.73 eV for the cell shown

***

Which value of energy does entry 4 give?
-83.73 eV for the cell shown

***

Among the records above, which one has the lowest calculated volume?
CeBe6Pd6